No. 1
Below is an optimized crystal structure of Pm2ZnAu2, with properties calculated at the GGA-PBE level.

Lattice parameters (Å, degrees): 4.438 5.830 10.198 88.50 77.43 67.63
Atoms (fractional coordinates):
Pm 0.327 0.687 0.659
Pm 0.673 0.313 0.341
Pm 0.923 0.264 0.890
Pm 0.077 0.736 0.110
Au 0.646 0.825 0.882
Au 0.077 0.275 0.572
Au 0.354 0.175 0.118
Au 0.923 0.725 0.428
Zn 0.625 0.092 0.658
Zn 0.375 0.908 0.342

Properties
**Formation energy**: -677.3 meV/atom
**Energy above the most stable polymorph in this dataset**: 0.0 meV per atom
**DFT total energy**: -41.43 eV for the cell shown
**Magnetization**: 0.000 μB per formula unit

No. 2
Below is an optimized crystal structure of AlAg2Se, with properties calculated at the GGA-PBE level.

Lattice parameters (Å, degrees): 6.330 6.330 6.330 148.88 141.40 50.39
Atoms (fractional coordinates):
Se 0.684 0.184 0.500
Al 0.523 0.523 0.000
Ag 0.979 0.979 0.000
Ag 0.314 0.814 0.500

Properties
**Energy above the most stable polymorph in this dataset**: 46.5 meV per atom
**Raw formation energy**: -0.0169 eV per atom
**DFT total energy**: -13.00 eV for the cell shown
**Magnetization**: 0.000 μB per formula unit

No. 3
Below is an optimized crystal structure of CsK2SrSn, with properties calculated at the GGA-PBE level.

Lattice parameters (Å, degrees): 7.050 7.050 6.561 90.00 90.00 90.00
Atoms (fractional coordinates):
Cs 0.500 0.500 0.500
Sn 0.000 0.000 0.000
K 0.000 0.500 0.000
K 0.500 0.000 0.000
Sr 0.000 0.000 0.500

Properties
**Formation energy**: -66.5 meV/atom
**Energy above the most stable polymorph in this dataset**: 0.0 meV per atom
**DFT total energy**: -9.07 eV for the cell shown
**Magnetization**: 0.000 μB per formula unit

No. 4
Below is an optimized crystal structure of BeTcPHCl, with properties calculated at the GGA-PBE level.

Lattice parameters (Å, degrees): 2.965 4.386 7.544 73.51 88.96 70.25
Atoms (fractional coordinates):
H 0.548 0.811 0.826
Tc 0.161 0.574 0.959
Cl 0.705 0.530 0.465
P 0.880 0.131 0.994
Be 0.676 0.558 0.705

Properties
**Energy above the most stable polymorph in this dataset**: 221.6 meV per atom
**DFT total energy**: -25.62 eV for the cell shown
**Magnetization**: 0.009 μB per formula unit

No. 5
Below is an optimized crystal structure of In2Te3, with properties calculated at the GGA-PBE level.

Lattice parameters (Å, degrees): 10.022 10.022 10.022 25.04 25.04 25.04
Atoms (fractional coordinates):
In 0.401 0.401 0.401
In 0.599 0.599 0.599
Te 0.786 0.786 0.786
Te 0.000 0.000 0.000
Te 0.214 0.214 0.214

Properties
**Raw formation energy**: -0.2412 eV per atom
**DFT total energy**: -16.11 eV for the cell shown
**Magnetization**: 0.000 μB per formula unit

No. 6
Below is an optimized crystal structure of BaAcRh2, with properties calculated at the GGA-PBE level.

Lattice parameters (Å, degrees): 5.294 5.294 5.294 60.00 60.00 60.00
Atoms (fractional coordinates):
Rh 0.250 0.250 0.250
Rh 0.750 0.750 0.750
Ba 0.500 0.500 0.500
Ac 0.000 0.000 0.000

Properties
**Formation energy**: -196.1 meV/atom
**Energy above the most stable polymorph in this dataset**: 98.8 meV per atom
**DFT total energy**: -21.52 eV for the cell shown
**Magnetization**: 0.000 μB per formula unit

No. 7
Below is an optimized crystal structure of Ir2Br, with properties calculated at the GGA-PBE level.

Lattice parameters (Å, degrees): 7.844 7.844 2.810 90.00 90.00 120.00
Atoms (fractional coordinates):
Br 0.333 0.667 0.000
Br 0.000 0.000 0.500
Br 0.667 0.333 0.000
Ir 0.635 0.635 0.000
Ir 0.365 0.000 0.000
Ir 0.000 0.699 0.500
Ir 0.000 0.365 0.000
Ir 0.301 0.301 0.500
Ir 0.699 0.000 0.500

Properties
**Energy above the most stable polymorph in this dataset**: 784.6 meV per atom
**Raw formation energy**: 1.1405 eV per atom
**DFT total energy**: -47.92 eV for the cell shown
**Magnetization**: 0.000 μB per formula unit

No. 8
Below is an optimized crystal structure of PuGaS, with properties calculated at the GGA-PBE level.

Lattice parameters (Å, degrees): 6.860 6.860 8.200 100.92 100.92 123.17
Atoms (fractional coordinates):
Ga 0.164 0.664 0.329
Ga 0.914 0.914 0.829
Ga 0.336 0.836 0.671
Ga 0.086 0.086 0.171
Pu 0.489 0.511 0.500
Pu 0.761 0.239 0.000
Pu 0.011 0.989 0.500
Pu 0.239 0.761 0.000
S 0.125 0.375 0.750
S 0.625 0.875 0.250
S 0.625 0.375 0.750
S 0.625 0.375 0.250

Properties
**Raw formation energy**: -0.5067 eV per atom
**DFT total energy**: -92.03 eV for the cell shown
**Magnetization**: 5.432 μB per formula unit